No. 1
96
Lattice="9.994 0.000 0.000 0.064 10.046 0.000 0.020 0.130 10.465" Properties=species:S:1:pos:R:3 comment="GGA-PBE Hf31SiO64, optimized geometry" magnetic_moment_mub_per_cell=0.0 total_energy_ev_per_atom=-10.05 vol_a3_per_atom=10.94 spacegroup="P1, No. 1" pbc="T T T"
O 3.470 5.661 7.253
Hf 0.146 1.304 1.075
Hf 0.212 6.176 1.181
O 8.474 8.165 8.461
O 9.087 0.598 4.621
O 6.032 2.603 7.752
Hf 2.435 1.376 3.660
O 4.158 5.646 4.649
O 1.105 2.619 7.585
O 6.510 7.617 5.151
O 6.513 10.110 5.307
Hf 2.463 3.867 6.686
Hf 5.131 3.840 4.099
Hf 7.414 1.279 3.727
O 1.471 5.123 5.374
O 4.172 8.187 5.845
O 1.607 4.755 0.298
O 1.092 7.549 2.563
O 1.134 5.123 7.998
Hf 5.135 6.307 1.163
Hf 7.519 8.838 1.453
O 1.479 0.093 5.287
O 1.525 9.954 0.071
O 3.413 0.622 7.191
O 3.455 8.188 8.471
O 6.121 10.137 7.938
O 3.430 5.497 1.990
O 1.196 5.000 2.756
Hf 2.465 6.312 3.803
Hf 0.136 6.380 6.431
O 6.524 7.681 10.380
O 1.229 2.432 10.066
O 1.033 0.099 2.696
Hf 0.162 8.853 9.366
O 3.412 3.164 8.451
Hf 5.105 1.324 6.348
O 6.404 0.024 0.099
O 4.207 5.751 9.863
O 9.173 8.016 0.638
Si 2.591 3.936 1.660
O 6.044 2.571 2.525
O 8.449 8.156 3.245
O 3.846 3.158 0.688
Hf 2.467 8.875 6.703
O 6.123 7.591 2.516
O 4.120 0.666 4.561
O 6.122 7.626 7.778
O 1.403 2.610 4.975
O 6.485 2.582 5.134
O 1.524 7.611 5.167
Hf 2.501 6.360 9.013
Hf 7.483 6.378 9.022
O 6.101 5.089 2.724
O 4.102 3.113 5.796
Hf 0.044 3.906 4.111
O 3.410 3.251 3.166
Hf 0.158 8.858 4.098
Hf 5.143 8.911 9.340
O 4.140 8.085 0.619
Hf 7.484 8.884 6.726
O 9.181 8.185 5.866
O 8.457 5.633 7.287
O 9.145 5.691 4.663
O 8.477 3.042 3.200
O 1.540 7.540 10.422
Hf 5.157 6.379 6.391
O 8.406 0.594 1.988
O 9.098 3.165 5.842
Hf 5.139 8.865 4.078
Hf 7.451 6.363 3.757
Hf 5.037 1.292 1.147
O 6.502 5.047 0.123
O 9.049 3.047 0.583
O 8.499 5.539 2.081
O 8.405 3.132 8.471
O 4.113 0.704 9.852
Hf 7.399 1.357 9.003
Hf 7.415 3.829 6.736
Hf 0.104 3.861 9.294
O 6.045 0.054 2.681
O 9.055 0.570 9.878
O 3.481 8.058 3.222
O 1.124 7.619 7.795
Hf 2.462 8.778 1.497
Hf 2.419 1.325 8.925
O 9.224 5.701 9.902
O 1.087 10.130 7.912
O 6.359 2.671 10.381
Hf 0.094 1.334 6.328
O 3.420 0.497 2.009
O 6.499 5.102 5.336
O 8.383 0.667 7.236
O 6.093 5.112 7.974
O 1.408 2.625 2.130
Hf 5.040 3.909 9.351
Hf 7.436 3.783 1.489

=====

No. 2
8
Lattice="2.203 4.631 1.140 -4.703 2.316 -0.337 0.460 -4.335 4.641" Properties=species:S:1:pos:R:3 comment="GGA-PBE ZnSnPN, optimized geometry" total_energy_ev_per_atom=-4.74 vol_a3_per_atom=17.85 spacegroup="Cc, No. 9" pbc="T T T"
Zn -1.726 -0.100 2.368
P -1.895 2.063 1.389
Sn 1.966 1.559 3.235
Zn 0.668 -1.542 5.151
N 1.438 3.293 2.116
P -0.100 0.420 4.044
Sn -3.757 1.886 -0.260
N -3.503 -0.607 3.330

=====

No. 3
11
Lattice="-1.959 3.378 6.442 1.959 -3.378 6.442 1.959 3.378 -6.442" Properties=species:S:1:pos:R:3 comment="GGA-PBE ZrSc2Fe4Ge4, optimized geometry" magnetic_moment_mub_per_cell=7.0 total_energy_ev_per_atom=-7.13 vol_a3_per_atom=15.50 spacegroup="Immm, No. 71" pbc="T T T"
Zr 0.000 0.000 0.000
Fe 0.000 2.091 4.117
Fe 0.000 2.091 8.768
Fe 1.959 1.287 -2.326
Ge 0.000 0.000 2.857
Ge 1.959 2.029 0.000
Ge 0.000 0.000 10.027
Sc 1.959 0.000 4.833
Sc 0.000 3.378 1.609
Ge 0.000 1.349 6.442
Fe 1.959 1.287 2.326

=====

What is the formula in the second record? ZnSnPN

=====

What did the third record say?
11
Lattice="-1.959 3.378 6.442 1.959 -3.378 6.442 1.959 3.378 -6.442" Properties=species:S:1:pos:R:3 comment="GGA-PBE ZrSc2Fe4Ge4, optimized geometry" magnetic_moment_mub_per_cell=7.0 total_energy_ev_per_atom=-7.13 vol_a3_per_atom=15.50 spacegroup="Immm, No. 71" pbc="T T T"
Zr 0.000 0.000 0.000
Fe 0.000 2.091 4.117
Fe 0.000 2.091 8.768
Fe 1.959 1.287 -2.326
Ge 0.000 0.000 2.857
Ge 1.959 2.029 0.000
Ge 0.000 0.000 10.027
Sc 1.959 0.000 4.833
Sc 0.000 3.378 1.609
Ge 0.000 1.349 6.442
Fe 1.959 1.287 2.326